Record 1
{
  "formula": "MnGeP2",
  "functional": "GGA-PBE",
  "state": "optimized geometry",
  "lattice_angstrom": [[-4.0067, 2.9583, -2.3333], [1.9299, -1.3140, -4.9798], [-2.1059, -5.1428, 3.5781]],
  "species": ["Ge", "Mn", "P", "P", "Mn", "P", "P", "Ge"],
  "fractional_positions": [[0.7500, 0.2500, 0.5000], [0.2500, 0.7500, 0.5000], [0.8863, 0.8750, 0.2500], [0.6250, 0.1137, 0.7500], [0.0000, 0.0000, 0.0000], [0.1250, 0.6363, 0.7500], [0.3637, 0.3750, 0.2500], [0.5000, 0.5000, 0.0000]],
  "m_tot_mub_per_fu": 3.54,
  "ef_mev_per_atom": -18.6,
  "mass_density_g_cm3": 3.893
}


Record 2
{
  "formula": "Ac4LaPm",
  "functional": "GGA-PBE",
  "state": "optimized geometry",
  "lattice_angstrom": [[7.1999, 0.0000, 0.0000], [3.5999, 6.2353, 0.0000], [3.5999, 2.0784, 5.8787]],
  "species": ["Ac", "Ac", "Pm", "Ac", "Ac", "La"],
  "fractional_positions": [[0.1261, 0.6246, 0.6246], [0.6246, 0.6246, 0.1261], [0.2500, 0.2500, 0.2500], [0.6246, 0.6246, 0.6246], [0.6246, 0.1261, 0.6246], [0.0000, 0.0000, 0.0000]],
  "m_tot_mub_per_fu": 0.00,
  "relative_energy_mev_per_atom": 281,
  "ef_mev_per_atom": 304.5,
  "mass_density_g_cm3": 7.499
}


Record 3
{
  "formula": "HfCd3O",
  "functional": "GGA-PBE",
  "state": "optimized geometry",
  "lattice_angstrom": [[-3.6934, -4.1105, 1.2568], [4.2495, -3.7410, 0.2526], [0.6464, 1.1070, 5.5203]],
  "species": ["Cd", "O", "Cd", "Hf", "Cd"],
  "fractional_positions": [[0.5000, 0.0000, 0.0000], [0.5000, 0.5000, 0.5000], [0.0000, 0.5000, 0.0000], [0.0000, 0.0000, 0.0000], [0.0000, 0.0000, 0.5000]],
  "m_tot_mub_per_fu": 0.00,
  "e_form_raw_mev_per_atom": 1310,
  "relative_energy_mev_per_atom": 1110,
  "mass_density_g_cm3": 4.851
}


Record 4
{
  "formula": "DyPd4Pb",
  "functional": "GGA-PBE",
  "state": "optimized geometry",
  "lattice_angstrom": [[5.4332, 0.0000, 0.0000], [2.7166, 4.7053, 0.0000], [2.7166, 1.5684, 4.4362]],
  "species": ["Pd", "Pd", "Pd", "Pd", "Dy", "Pb"],
  "fractional_positions": [[0.6249, 0.6249, 0.6249], [0.6249, 0.6249, 0.1252], [0.6249, 0.1252, 0.6249], [0.1252, 0.6249, 0.6249], [0.2500, 0.2500, 0.2500], [0.0000, 0.0000, 0.0000]],
  "m_tot_mub_per_fu": 0.00,
  "relative_energy_mev_per_atom": 0,
  "ef_mev_per_atom": -553.1,
  "mass_density_g_cm3": 11.646
}


Record 5
{
  "formula": "TcRuN",
  "functional": "GGA-PBE",
  "state": "optimized geometry",
  "lattice_angstrom": [[2.7881, 0.0000, 0.0000], [0.0000, 5.1294, 0.0000], [0.0000, 0.0000, 10.0375]],
  "species": ["Tc", "Ru", "Ru", "Ru", "N", "Ru", "Tc", "N", "Tc", "N", "N", "Tc"],
  "fractional_positions": [[0.5000, 0.3927, 0.6849], [0.0000, 0.7512, 0.5470], [0.5000, 0.2512, 0.9530], [0.0000, 0.2488, 0.4530], [0.5000, 0.6106, 0.8517], [0.5000, 0.7488, 0.0470], [0.0000, 0.8927, 0.8151], [0.0000, 0.1106, 0.6483], [0.5000, 0.6073, 0.3151], [0.5000, 0.3894, 0.1483], [0.0000, 0.8894, 0.3517], [0.0000, 0.1073, 0.1849]],
  "m_tot_mub_per_fu": 0.00,
  "e_form_raw_mev_per_atom": 128,
  "relative_energy_mev_per_atom": 0,
  "mass_density_g_cm3": 9.859
}


Record 6
{
  "formula": "CaCu2Pb",
  "functional": "GGA-PBE",
  "state": "optimized geometry",
  "lattice_angstrom": [[-1.5997, 0.2117, 3.9046], [-3.5444, -1.5956, -1.3656], [-0.0249, -5.3296, 0.2788]],
  "species": ["Cu", "Ca", "Pb", "Cu"],
  "fractional_positions": [[0.5000, 0.0650, 0.2495], [0.5000, 0.7678, 0.8312], [0.0000, 0.4812, 0.4179], [0.0000, 0.1860, 0.0015]],
  "m_tot_mub_per_fu": 0.00,
  "ef_mev_per_atom": -84.8,
  "mass_density_g_cm3": 7.214
}


Record 7
{
  "formula": "TlNi2Pt",
  "functional": "GGA-PBE",
  "state": "optimized geometry",
  "lattice_angstrom": [[-2.3684, -1.1669, 3.5298], [1.8824, -0.0925, 3.9848], [-1.0867, 3.0199, 3.0216]],
  "species": ["Ni", "Tl", "Ni", "Pt"],
  "fractional_positions": [[0.2500, 0.2500, 0.2500], [0.7500, 0.7500, 0.7500], [0.0000, 0.0000, 0.0000], [0.5000, 0.5000, 0.5000]],
  "m_tot_mub_per_fu": 0.01,
  "relative_energy_mev_per_atom": 85,
  "ef_mev_per_atom": 180.4,
  "mass_density_g_cm3": 14.171
}


Record 8
{
  "formula": "Cs3Tl4In4",
  "functional": "GGA-PBE",
  "state": "optimized geometry",
  "lattice_angstrom": [[7.8904, 0.0000, -2.7897], [-3.9452, 6.8333, -2.7897], [0.0000, 0.0000, 8.3691]],
  "species": ["In", "Cs", "In", "Tl", "Cs", "In", "Tl", "Tl", "In", "Cs", "Tl"],
  "fractional_positions": [[0.0000, 0.0000, 0.2998], [0.5000, 0.5000, 0.0000], [0.0000, 0.2998, 0.0000], [0.0000, 0.6615, 0.0000], [0.5000, 0.0000, 0.5000], [0.2998, 0.0000, 0.0000], [0.6615, 0.0000, 0.0000], [0.3385, 0.3385, 0.3385], [0.7002, 0.7002, 0.7002], [0.0000, 0.5000, 0.5000], [0.0000, 0.0000, 0.6615]],
  "m_tot_mub_per_fu": 0.00,
  "ef_mev_per_atom": -65.6,
  "mass_density_g_cm3": 6.166
}


Record 9
{
  "formula": "CdCoCu2N",
  "functional": "GGA-PBE",
  "state": "optimized geometry",
  "lattice_angstrom": [[4.0511, 0.0000, 0.0000], [0.0000, 4.0511, 0.0000], [0.0000, 0.0000, 3.7321]],
  "species": ["Cu", "Co", "Cu", "Cd", "N"],
  "fractional_positions": [[0.5000, 0.0000, 0.0000], [0.0000, 0.0000, 0.5000], [0.0000, 0.5000, 0.0000], [0.5000, 0.5000, 0.5000], [0.0000, 0.0000, 0.0000]],
  "m_tot_mub_per_fu": 0.66,
  "e_form_raw_mev_per_atom": 210,
  "mass_density_g_cm3": 8.471
}


Record 10
{
  "formula": "AsRh3",
  "functional": "GGA-PBE",
  "state": "optimized geometry",
  "lattice_angstrom": [[4.6213, -0.0019, 0.0000], [-1.4051, 4.4026, 0.0000], [0.0000, 0.0000, 2.8593]],
  "species": ["As", "Rh", "Rh", "Rh"],
  "fractional_positions": [[0.0000, 0.0000, 0.0000], [0.0000, 0.5000, 0.5000], [0.5000, 0.5000, 0.0000], [0.5000, 0.0000, 0.5000]],
  "m_tot_mub_per_fu": 0.00,
  "ef_mev_per_atom": -96.1,
  "mass_density_g_cm3": 10.952
}